The following is a DFT calculation (PBE+U) of a relaxed WBrNO2 crystal.

Cell and atoms, written as POSCAR:
```
WBrNO2
1.0
3.864 0.000 0.000
0.000 3.864 0.000
0.000 0.000 4.373
Br O N W
1 2 1 1
Cartesian
1.932 1.932 2.187 Br
0.000 1.932 0.000 O
1.932 0.000 0.000 O
0.000 0.000 2.187 N
0.000 0.000 0.000 W
```

- Spin magnetization: 0.00 μB/f.u.
- Uncorrected energy: -28.6 eV per cell
- Density of states at the Fermi level: 2.981 states/eV per cell